Density functional theory data (PBE-GGA) for an optimized crystal structure of KPdF4.

Cell lengths 7.1368, 11.3683, 6.8532 Å; angles 90.00, 90.00, 90.00 degrees
With the nearest neighbours (Å) after each atom.
Space group Cccm (No. 66)
Unique sites:
K  0.2500  0.2500  0.0000 x4  6 F 2.63-2.85
Pd  0.0000  0.0000  0.2500 x4  6 F 1.96-2.12
F  0.0000  0.1721  0.2500 x8  1 Pd 1.96
F  0.1748  0.0039  0.0000 x8  2 Pd 2.12

## Properties
V (Å³/atom): 23.17
Energy relative to the elements, uncorrected (kJ/mol of formula units): -1055